(1)
Density functional theory data (PBE) for an optimized crystal structure of LiNiP.

Size of the total moment = 0.00 μB per cell
Formation enthalpy at 0 K = -0.54 eV/atom
SG = P6_3mc

abc: 3.8969 3.8969 5.4675
angles: 90.00 90.00 120.00
Fractional coordinates of all 6 atoms:
Li 0.0000 0.0000 0.0000
Li 0.0000 0.0000 0.5000
Ni 0.3333 0.6667 0.2858
Ni 0.6667 0.3333 0.7858
P 0.3333 0.6667 0.7129
P 0.6667 0.3333 0.2129

=====

(2)
Density functional theory data (PBE) for an optimized crystal structure of LiNiP.

Size of the total moment = 0.00 μB per cell
Formation enthalpy at 0 K = -0.21 eV/atom
SG = P3m1

abc: 2.8243 2.8243 5.8146
angles: 90.00 90.00 120.00
Fractional coordinates of all 3 atoms:
Li 0.0000 0.0000 0.0000
Ni 0.3333 0.6667 0.3800
P 0.6667 0.3333 0.6375

=====

(3)
Density functional theory data (PBE) for an optimized crystal structure of Li5Ni3P3.

Size of the total moment = 0.00 μB per cell
Formation enthalpy at 0 K = -0.20 eV/atom
SG = P-62m

abc: 7.7917 7.7917 4.0435
angles: 90.00 90.00 120.00
Fractional coordinates of all 11 atoms:
Li 0.0000 0.2694 0.0000
Li 0.2694 0.0000 0.0000
Li 0.3333 0.6667 0.0000
Li 0.6667 0.3333 0.0000
Li 0.7306 0.7306 0.0000
Ni 0.0000 0.6347 0.0000
Ni 0.3653 0.3653 0.0000
Ni 0.6347 0.0000 0.0000
P 0.0000 0.6367 0.5000
P 0.3633 0.3633 0.5000
P 0.6367 0.0000 0.5000